Record 1
## CeNi4Ir2 (PBE)

Data for CeNi4Ir2 after structural relaxation.

Structure (POSCAR):
```
CeNi4Ir2
1.0
5.642 -0.619 0.000
-2.844 4.912 0.000
-1.399 -2.146 5.064
Ni Ir Ce
4 2 1
Cartesian
-0.922 0.601 3.964
0.477 2.747 1.100
0.922 -0.601 3.964
2.321 1.546 1.100
2.821 -0.309 2.532
-1.422 2.456 2.532
0.000 0.000 0.000
```

## Properties
size of the total moment = 1.7 μB/cell
final energy = -44.26 eV/cell
ΔH_f (0 K) = 244 kJ/mol of formula units


Record 2
## Tl7Cd2 (PBE)

Data for Tl7Cd2 after structural relaxation.

Structure (POSCAR):
```
Tl7Cd2
1.0
5.936 0.000 0.000
-2.968 5.141 0.000
0.000 0.000 8.610
Tl Cd
7 2
Cartesian
-1.965 3.404 2.797
3.930 0.000 2.797
2.006 0.000 5.813
1.965 3.404 5.813
0.000 0.000 0.000
1.003 1.737 2.797
-1.003 1.737 5.813
2.968 1.714 0.000
0.000 3.427 0.000
```

## Properties
size of the total moment = 0.0 μB/cell
final energy = -18.05 eV/cell
ΔH_f (0 K) = 33 kJ/mol of formula units


Record 3
## Y5Mg4Ru4 (PBE)

Data for Y5Mg4Ru4 after structural relaxation.

Structure (POSCAR):
```
Y5Mg4Ru4
1.0
-0.843 3.985 1.151
1.454 0.165 8.280
7.329 4.037 -0.826
Y Mg Ru
5 4 4
Cartesian
0.000 0.000 0.000
0.987 2.922 6.174
5.630 5.648 7.919
6.953 5.265 2.430
2.310 2.539 0.685
4.140 3.686 5.838
3.800 4.501 2.766
5.106 6.438 4.799
2.834 1.749 3.805
5.339 3.095 0.977
1.111 3.803 3.212
6.829 4.383 5.392
2.601 5.092 7.626
```

## Properties
size of the total moment = 0.0 μB/cell
final energy = -78.96 eV/cell
ΔH_f (0 K) = -305 kJ/mol of formula units


Record 4
## RbHfPa2O8 (PBE)

Data for RbHfPa2O8 after structural relaxation.

Structure (POSCAR):
```
RbHfPa2O8
1.0
5.024 0.049 -0.003
0.099 5.025 -0.005
0.005 0.008 7.661
O Hf Rb Pa
8 1 1 2
Cartesian
4.009 1.094 6.149
1.537 1.517 7.658
4.006 1.089 1.505
3.591 3.564 -0.006
1.122 3.992 6.148
1.119 3.987 1.504
1.830 1.799 3.828
3.298 3.282 3.825
0.000 0.000 0.000
0.002 0.004 3.830
2.565 2.543 5.887
2.563 2.538 1.766
```

## Properties
size of the total moment = 1.0 μB/cell
E_form (uncorrected) = -3.017 eV/atom
final energy = -105.78 eV/cell


Record 5
## Tm4GaIr2 (PBE)

Data for Tm4GaIr2 after structural relaxation.

Structure (POSCAR):
```
Tm4GaIr2
1.0
4.588 0.000 1.433
2.070 4.095 1.433
-0.083 -0.051 8.324
Ga Ir Tm
1 2 4
Cartesian
0.000 0.000 0.000
4.924 3.028 8.420
1.652 1.016 2.771
4.115 2.531 2.948
0.805 0.495 5.482
5.770 3.549 5.709
2.461 1.513 8.244
```

## Properties
size of the total moment = 0.0 μB/cell
offset from the most stable computed form = 0 meV per atom
final energy = -43.99 eV/cell
ΔH_f (0 K) = -517 kJ/mol of formula units


Record 6
## CsK2Na8 (PBE)

Data for CsK2Na8 after structural relaxation.

Structure (POSCAR):
```
CsK2Na8
1.0
6.761 0.000 2.772
-0.904 7.722 2.206
-0.255 0.510 10.252
Na K Cs
8 2 1
Cartesian
4.071 2.729 4.524
0.931 7.396 7.361
0.686 2.729 3.137
1.531 5.502 10.706
4.671 0.836 7.870
2.213 5.893 4.233
3.389 2.339 10.997
4.916 5.502 12.094
0.994 3.112 7.207
4.608 5.120 8.023
0.000 0.000 0.000
```

## Properties
size of the total moment = 0.0 μB/cell
final energy = -13.18 eV/cell
ΔH_f (0 K) = 40 kJ/mol of formula units


Record 7
## La4Pm5Tm2 (PBE)

Data for La4Pm5Tm2 after structural relaxation.

Structure (POSCAR):
```
La4Pm5Tm2
1.0
3.669 0.000 -0.652
0.242 9.278 1.365
0.205 3.363 11.805
La Tm Pm
4 2 5
Cartesian
3.969 9.802 11.688
0.717 1.490 4.035
3.399 11.150 8.482
0.147 2.838 0.830
1.735 7.915 9.764
2.381 4.725 2.754
3.051 7.862 6.524
0.683 7.607 3.845
1.065 4.778 5.994
1.834 0.000 -0.326
3.433 5.033 8.673
```

## Properties
size of the total moment = 0.0 μB/cell
offset from the most stable computed form = 0 meV per atom
final energy = -51.69 eV/cell
ΔH_f (0 K) = 69 kJ/mol of formula units


Record 8
## Be3CrRh (PBE)

Data for Be3CrRh after structural relaxation.

Structure (POSCAR):
```
Be3CrRh
1.0
-2.754 -2.389 -1.381
2.757 -2.456 -1.251
-0.104 -1.861 3.424
Be Cr Rh
3 1 1
Cartesian
-0.052 -0.930 1.712
1.379 -1.228 -0.625
-1.377 -1.194 -0.691
0.000 0.000 0.000
-0.050 -3.353 0.396
```

## Properties
size of the total moment = 0.0 μB/cell
offset from the most stable computed form = 367 meV per atom
final energy = -22.61 eV/cell
ΔH_f (0 K) = 535 kJ/mol of formula units